No. 1
# MgZnPd

An optimized crystal structure of MgZnPd (PBE-GGA, Alexandria via LeMat-Bulk).

a = 2.9626 Å, b = 4.3909 Å, c = 4.3909 Å
α = 120.00°, β = 90.00°, γ = 90.00°
Closest atoms and distances in Å follow each position.
Fractional positions:
Mg  0.6672  0.6667  0.3333  6 Zn 2.93-2.94, 6 Pd 2.93-2.94, 2 Mg 2.96
Pd  0.1692  0.3333  0.6667  3 Zn 2.54
Zn  0.1636  0.0000  0.0000  3 Pd 2.54

## Properties
Space group: P3m1, No. 156
Calculated formation energy in meV/atom: -472
Volume in Å³ per atom: 16.489



No. 2
# Mg5ZnPd3

An optimized crystal structure of Mg5ZnPd3 (PBE-GGA, Alexandria via LeMat-Bulk).

a = 5.6110 Å, b = 7.9892 Å, c = 7.9857 Å
α = 120.01°, β = 90.00°, γ = 90.00°
Closest atoms and distances in Å follow each position.
Fractional positions:
Mg  0.7500  0.6873  0.6875  5 Pd 2.67-2.82, 2 Zn 2.86
Mg  0.5000  0.3333  0.6666  8 Mg 2.81-3.09, 6 Pd 2.94-2.95
Mg  0.2500  0.0002  0.6875  5 Pd 2.67-2.82, 2 Zn 2.86
Mg  0.5000  0.6667  0.3334  8 Mg 2.81-3.09, 6 Pd 2.94-2.95
Mg  0.7500  0.9998  0.3125  5 Pd 2.67-2.82, 2 Zn 2.86
Mg  0.7500  0.3124  0.0000  5 Pd 2.67-2.82, 2 Zn 2.86
Mg  0.0000  0.3333  0.6666  8 Mg 2.81-3.09, 6 Pd 2.94-2.95
Mg  0.2500  0.6876  0.0000  5 Pd 2.67-2.82, 2 Zn 2.86
Mg  0.0000  0.6667  0.3334  8 Mg 2.81-3.09, 6 Pd 2.94-2.95
Mg  0.2500  0.3127  0.3125  5 Pd 2.67-2.82, 2 Zn 2.86
Zn  0.5000  0.0000  0.0000  2 Zn 2.81, 6 Mg 2.86
Zn  0.0000  0.0000  0.0000  2 Zn 2.81, 6 Mg 2.86
Pd  0.2500  0.3527  0.0000  9 Mg 2.67-2.94
Pd  0.2500  0.6478  0.6476  9 Mg 2.67-2.95
Pd  0.7500  0.6473  0.0000  9 Mg 2.67-2.94
Pd  0.7500  0.9998  0.6476  9 Mg 2.67-2.95
Pd  0.2500  0.0002  0.3524  9 Mg 2.67-2.95
Pd  0.7500  0.3522  0.3524  9 Mg 2.67-2.95

## Properties
Space group: P6_3/mcm, No. 193
Calculated formation energy in meV/atom: -490
Volume in Å³ per atom: 17.220



No. 3
# Mg6ZnPd

An optimized crystal structure of Mg6ZnPd (PBE-GGA, Alexandria via LeMat-Bulk).

a = 4.6864 Å, b = 4.6863 Å, c = 7.8717 Å
α = 72.68°, β = 72.68°, γ = 90.00°
Closest atoms and distances in Å follow each position.
Fractional positions:
Mg  0.8931  0.3931  0.2138  2 Pd 2.80, 2 Zn 2.80, 3 Mg 3.05-3.08
Mg  0.7530  0.7530  0.4940  12 Mg 3.08-3.32
Mg  0.6069  0.1069  0.7862  2 Zn 2.80, 2 Pd 2.80, 3 Mg 3.05-3.08
Mg  0.2470  0.2470  0.5060  12 Mg 3.08-3.32
Mg  0.3931  0.8931  0.2138  2 Zn 2.80, 2 Pd 2.80, 3 Mg 3.05-3.08
Mg  0.1069  0.6069  0.7862  2 Pd 2.80, 2 Zn 2.80, 3 Mg 3.05-3.08
Pd  0.0000  0.0000  0.0000  8 Mg 2.80
Zn  0.5000  0.5000  0.0000  8 Mg 2.80

## Properties
Offset from the most stable computed form in eV/f.u.: 0.000
Space group: I4/mmm, No. 139
Calculated formation energy in meV/atom: -217
Volume in Å³ per atom: 19.602



No. 4
# MgZn2Pd

An optimized crystal structure of MgZn2Pd (PBE-GGA, Alexandria via LeMat-Bulk).

a = 3.3117 Å, b = 3.3117 Å, c = 5.7827 Å
α = 90.00°, β = 90.00°, γ = 90.00°
Closest atoms and distances in Å follow each position.
Fractional positions:
Zn  0.0000  0.0000  0.7708  1 Zn 2.65, 4 Pd 2.69, 4 Mg 2.82
Zn  0.0000  0.0000  0.2292  1 Zn 2.65, 4 Pd 2.69, 4 Mg 2.82
Pd  0.5000  0.5000  0.0000  8 Zn 2.69, 2 Mg 2.89
Mg  0.5000  0.5000  0.5000  8 Zn 2.82, 2 Pd 2.89

## Properties
Space group: P4/mmm, No. 123
Calculated formation energy in meV/atom: -344
Volume in Å³ per atom: 15.855



No. 5
# Mg3Zn4Pd

An optimized crystal structure of Mg3Zn4Pd (PBE-GGA, Alexandria via LeMat-Bulk).

a = 5.9222 Å, b = 5.9222 Å, c = 5.9222 Å
α = 123.59°, β = 102.91°, γ = 102.91°
Closest atoms and distances in Å follow each position.
Fractional positions:
Mg  0.5000  0.7500  0.2500  2 Mg 2.80, 8 Zn 2.96
Mg  0.5000  0.2500  0.7500  2 Mg 2.80, 8 Zn 2.96
Mg  0.0000  0.0000  0.0000  4 Zn 2.73, 2 Pd 2.80
Pd  0.0000  0.5000  0.5000  4 Zn 2.49
Zn  0.4779  0.7389  0.7389  1 Pd 2.49, 1 Mg 2.73
Zn  0.5221  0.2611  0.2611  1 Pd 2.49, 1 Mg 2.73
Zn  0.0000  0.7389  0.2611  1 Pd 2.49, 1 Mg 2.73
Zn  0.0000  0.2611  0.7389  1 Pd 2.49, 1 Mg 2.73

## Properties
Space group: I4/mmm, No. 139
Calculated formation energy in meV/atom: 9
Volume in Å³ per atom: 19.061



No. 6
# MgZnPd5

An optimized crystal structure of MgZnPd5 (PBE-GGA, Alexandria via LeMat-Bulk).

a = 4.2636 Å, b = 4.2636 Å, c = 6.2798 Å
α = 90.00°, β = 90.00°, γ = 90.00°
Closest atoms and distances in Å follow each position.
Fractional positions:
Pd  0.0000  0.5000  0.2255  2 Zn 2.56, 3 Pd 2.74-2.83, 2 Mg 2.74
Pd  0.5000  0.0000  0.7745  2 Zn 2.56, 2 Mg 2.74, 3 Pd 2.74-2.83
Pd  0.5000  0.0000  0.2255  2 Zn 2.56, 2 Mg 2.74, 3 Pd 2.74-2.83
Pd  0.5000  0.5000  0.5000  8 Pd 2.74, 4 Mg 3.01
Pd  0.0000  0.5000  0.7745  2 Zn 2.56, 3 Pd 2.74-2.83, 2 Mg 2.74
Zn  0.5000  0.5000  0.0000  8 Pd 2.56
Mg  0.0000  0.0000  0.5000  12 Pd 2.74-3.01

## Properties
Offset from the most stable computed form in eV/f.u.: 0.000
Space group: P4/mmm, No. 123
Calculated formation energy in meV/atom: -335
Volume in Å³ per atom: 16.308



No. 7
# Mg4ZnPd

An optimized crystal structure of Mg4ZnPd (PBE-GGA, Alexandria via LeMat-Bulk).

a = 5.3762 Å, b = 5.3762 Å, c = 5.3762 Å
α = 104.15°, β = 104.15°, γ = 120.74°
Closest atoms and distances in Å follow each position.
Fractional positions:
Mg  0.9162  0.4162  0.8324  2 Zn 2.80, 2 Pd 2.80, 3 Mg 3.09-3.11
Mg  0.0838  0.9162  0.5000  2 Pd 2.80, 2 Zn 2.80, 3 Mg 3.09-3.11
Mg  0.4162  0.5838  0.5000  2 Zn 2.80, 2 Pd 2.80, 3 Mg 3.09-3.11
Mg  0.5838  0.0838  0.1676  2 Pd 2.80, 2 Zn 2.80, 3 Mg 3.09-3.11
Zn  0.5000  0.5000  0.0000  2 Pd 2.66, 8 Mg 2.80
Pd  0.0000  0.0000  0.0000  2 Zn 2.66, 8 Mg 2.80

## Properties
Offset from the most stable computed form in eV/f.u.: 0.000
Space group: I422, No. 97
Calculated formation energy in meV/atom: -339
Volume in Å³ per atom: 19.349



No. 8
# Mg8Zn2Pd

An optimized crystal structure of Mg8Zn2Pd (PBE-GGA, Alexandria via LeMat-Bulk).

a = 4.6283 Å, b = 6.6185 Å, c = 8.1003 Å
α = 111.87°, β = 106.60°, γ = 90.00°
Closest atoms and distances in Å follow each position.
Fractional positions:
Mg  0.9799  0.2196  0.9598  2 Pd 2.81, 1 Zn 2.82, 5 Mg 2.98-3.12
Mg  0.6014  0.4359  0.2028  1 Pd 2.70, 2 Zn 2.81, 2 Mg 2.98
Mg  0.3986  0.5641  0.7972  1 Pd 2.70, 2 Zn 2.81, 2 Mg 2.98
Mg  0.8130  0.7403  0.6260  3 Zn 2.81-3.02, 7 Mg 3.07-3.12
Mg  0.1870  0.2597  0.3740  3 Zn 2.81-3.02, 7 Mg 3.07-3.12
Mg  0.6617  0.9311  0.3234  1 Pd 2.72, 3 Zn 2.79-2.94, 1 Mg 3.04
Mg  0.0201  0.7804  0.0402  2 Pd 2.81, 1 Zn 2.82, 5 Mg 2.98-3.12
Mg  0.3383  0.0689  0.6766  1 Pd 2.72, 3 Zn 2.79-2.94, 1 Mg 3.04
Zn  0.8195  0.3220  0.6390  9 Mg 2.79-3.02
Zn  0.1805  0.6780  0.3610  9 Mg 2.79-3.02
Pd  0.5000  0.0000  0.0000  8 Mg 2.70-2.81

## Properties
Space group: C2/m, No. 12
Calculated formation energy in meV/atom: -180
Volume in Å³ per atom: 19.918



No. 9
# Mg4Zn2Pd

An optimized crystal structure of Mg4Zn2Pd (PBE-GGA, Alexandria via LeMat-Bulk).

a = 4.5759 Å, b = 4.5759 Å, c = 7.7743 Å
α = 72.88°, β = 72.88°, γ = 60.00°
Closest atoms and distances in Å follow each position.
Fractional positions:
Mg  0.1268  0.1268  0.6196  4 Zn 2.77-2.83, 1 Pd 2.78
Mg  0.8732  0.8732  0.3804  4 Zn 2.77-2.83, 1 Pd 2.78
Mg  0.3767  0.3767  0.8698  4 Zn 2.72-2.76, 3 Pd 2.81
Mg  0.6233  0.6233  0.1302  4 Zn 2.72-2.76, 3 Pd 2.81
Zn  0.7471  0.7471  0.7586  8 Mg 2.72-2.83
Zn  0.2529  0.2529  0.2414  8 Mg 2.72-2.83
Pd  0.0000  0.0000  0.0000  8 Mg 2.78-2.81

## Properties
Space group: R-3m, No. 166
Calculated formation energy in meV/atom: -252
Volume in Å³ per atom: 18.941



No. 10
# MgZn3Pd3

An optimized crystal structure of MgZn3Pd3 (PBE-GGA, Alexandria via LeMat-Bulk).

a = 5.3241 Å, b = 5.2312 Å, c = 5.3241 Å
α = 109.12°, β = 109.82°, γ = 109.12°
Closest atoms and distances in Å follow each position.
Fractional positions:
Zn  0.4999  0.0036  0.0000  6 Pd 2.62-2.66
Zn  0.0000  0.0036  0.4999  6 Pd 2.62-2.66
Zn  0.5001  0.5037  0.5001  6 Pd 2.62-2.66
Mg  0.0000  0.5032  0.0000  6 Pd 2.66
Pd  0.5001  0.5037  0.0000  6 Zn 2.62-2.66, 2 Mg 2.66
Pd  0.4999  0.0035  0.4999  6 Zn 2.62-2.66, 2 Mg 2.66
Pd  0.0000  0.5037  0.5001  6 Zn 2.62-2.66, 2 Mg 2.66

## Properties
Space group: R-3m, No. 166
Calculated formation energy in meV/atom: -501
Volume in Å³ per atom: 16.377